# 1
Tl2V2Cl | PBE-GGA | relaxed

Structure (extended XYZ):
```
10
Lattice="8.383 0.000 0.000 0.000 8.383 0.000 0.000 0.000 3.263" Properties=species:S:1:pos:R:3 pbc="T T T"
Tl 1.799 2.393 0.000
Tl 2.393 6.585 0.000
Tl 5.991 1.799 0.000
Tl 6.585 5.991 0.000
V 0.650 4.842 1.632
V 3.542 0.650 1.632
V 4.842 7.733 1.632
V 7.733 3.542 1.632
Cl 0.000 0.000 0.000
Cl 4.192 4.192 0.000
```

V (Å³ per atom): 22.94
E (eV/atom): -4.59



# 2
Tl3VCl6 | PBE-GGA | relaxed

Structure (extended XYZ):
```
20
Lattice="6.052 -7.932 0.000 6.052 7.932 0.000 0.000 0.000 7.734" Properties=species:S:1:pos:R:3 pbc="T T T"
Tl 6.052 6.412 3.867
Tl 3.629 1.459 4.025
Tl 3.629 -1.459 0.158
Tl 8.476 1.459 4.025
Tl 8.476 -1.459 0.158
Tl 6.052 -6.412 0.000
V 6.052 3.051 0.591
V 6.052 -3.051 4.458
Cl 4.237 3.971 1.519
Cl 1.937 0.119 2.028
Cl 1.937 -0.119 5.895
Cl 6.052 3.292 6.110
Cl 7.867 3.971 1.519
Cl 6.052 0.879 1.180
Cl 6.052 -0.879 5.047
Cl 4.237 -3.971 5.385
Cl 6.052 -3.292 2.243
Cl 10.167 0.119 2.028
Cl 10.167 -0.119 5.895
Cl 7.867 -3.971 5.385
```

V (Å³ per atom): 37.13
E (eV/atom): -3.81



# 3
Tl6V3Cl14 | PBE-GGA | relaxed

Structure (extended XYZ):
```
23
Lattice="11.669 0.000 0.000 -5.835 10.106 0.000 0.000 0.000 6.293" Properties=species:S:1:pos:R:3 pbc="T T T"
Tl -3.174 5.686 0.000
Tl 3.161 1.085 3.120
Tl 2.497 4.514 0.000
Tl 0.677 10.011 0.000
Tl 5.194 6.825 3.120
Tl 9.149 2.195 3.120
V 0.000 0.000 5.809
V 0.000 6.737 2.730
V 5.835 3.369 4.750
Cl 0.000 0.000 1.753
Cl -4.203 8.769 5.031
Cl 0.342 2.081 5.031
Cl -0.400 4.667 1.954
Cl -1.592 8.119 1.954
Cl 0.000 6.737 4.971
Cl 4.252 1.985 6.106
Cl 3.856 4.069 3.384
Cl 1.993 7.425 1.954
Cl 6.217 1.305 3.384
Cl 5.428 5.431 6.106
Cl 3.861 9.362 5.031
Cl 7.824 2.690 6.106
Cl 7.430 4.732 3.384
```

V (Å³ per atom): 32.27
E (eV/atom): -4.03



# 4
Tl6VCl12 | PBE-GGA | relaxed

Structure (extended XYZ):
```
19
Lattice="6.183 3.570 5.045 -6.183 3.570 5.045 0.000 -7.140 5.045" Properties=species:S:1:pos:R:3 pbc="T T T"
Tl -1.210 -4.133 6.597
Tl -4.184 -1.018 8.538
Tl -2.974 3.115 6.597
Tl 2.974 -3.115 8.538
Tl 4.184 1.018 6.597
Tl 1.210 4.133 8.538
V 0.000 0.000 7.568
Cl -5.205 1.128 6.514
Cl -3.580 -3.944 8.622
Cl -1.633 -0.931 6.248
Cl 1.626 -5.072 6.514
Cl -0.010 -1.879 8.888
Cl 1.622 -0.948 6.248
Cl -1.622 0.948 8.888
Cl 0.010 1.879 6.248
Cl -1.626 5.072 8.622
Cl 1.633 0.931 8.888
Cl 3.580 3.944 6.514
Cl 5.205 -1.128 8.622
```

V (Å³ per atom): 35.17
E (eV/atom): -3.33



# 5
TlV4Cl8 | PBE-GGA | relaxed

Structure (extended XYZ):
```
13
Lattice="3.699 2.136 7.827 -3.699 2.136 7.827 0.000 -4.271 7.827" Properties=species:S:1:pos:R:3 pbc="T T T"
Tl 0.000 0.000 0.000
V -3.699 0.000 11.740
V -1.849 1.068 3.913
V 1.849 1.068 3.913
V 0.000 0.000 11.740
Cl 0.000 0.000 5.239
Cl -1.856 -1.072 13.092
Cl 0.000 -2.143 10.389
Cl -1.856 1.072 10.389
Cl 1.856 -1.072 13.092
Cl 0.000 2.143 13.092
Cl 1.856 1.072 10.389
Cl 0.000 0.000 18.242
```

V (Å³ per atom): 28.54
E (eV/atom): -5.06



# 6
Tl2VCl4 | PBE-GGA | relaxed

Structure (extended XYZ):
```
14
Lattice="9.904 0.000 0.000 0.000 12.368 0.000 0.000 0.000 3.880" Properties=species:S:1:pos:R:3 pbc="T T T"
Tl 2.476 3.092 0.000
Tl 2.476 9.276 0.000
Tl 7.428 3.092 0.000
Tl 7.428 9.276 0.000
V 0.000 0.000 1.940
V 4.952 6.184 1.940
Cl 0.000 2.500 1.940
Cl 0.000 9.868 1.940
Cl 1.647 0.000 0.000
Cl 3.305 6.184 0.000
Cl 4.952 3.684 1.940
Cl 4.952 8.684 1.940
Cl 6.599 6.184 0.000
Cl 8.257 0.000 0.000
```

V (Å³ per atom): 33.95
E (eV/atom): -4.07



# 7
TlV3Cl | PBE-GGA | relaxed

Structure (extended XYZ):
```
5
Lattice="5.214 0.000 0.000 0.000 5.214 0.000 0.000 0.000 5.214" Properties=species:S:1:pos:R:3 pbc="T T T"
Tl 0.000 0.000 0.000
V 0.000 0.000 2.607
V 0.000 2.607 0.000
V 2.607 0.000 0.000
Cl 2.607 2.607 2.607
```

V (Å³ per atom): 28.35
E (eV/atom): -4.74



# 8
Tl2VCl4 | PBE-GGA | relaxed

Structure (extended XYZ):
```
14
Lattice="4.964 0.000 0.000 0.000 4.964 0.000 0.000 0.000 16.042" Properties=species:S:1:pos:R:3 pbc="T T T"
Tl 0.000 0.000 2.303
Tl 0.000 0.000 13.739
Tl 2.482 2.482 5.718
Tl 2.482 2.482 10.324
V 0.000 0.000 8.021
V 2.482 2.482 0.000
Cl 0.000 0.000 5.539
Cl 0.000 0.000 10.504
Cl 0.000 2.482 0.000
Cl 0.000 2.482 8.021
Cl 2.482 0.000 0.000
Cl 2.482 0.000 8.021
Cl 2.482 2.482 2.483
Cl 2.482 2.482 13.560
```

V (Å³ per atom): 28.24
E (eV/atom): -4.08



# 9
YTlVCl6 | PBE-GGA | relaxed

Structure (extended XYZ):
```
18
Lattice="6.659 0.000 0.000 -3.330 5.767 0.000 0.000 0.000 14.482" Properties=species:S:1:pos:R:3 pbc="T T T"
Y 0.000 3.845 3.621
Y 3.330 1.922 10.862
Tl 0.000 0.000 0.000
Tl 0.000 0.000 7.241
V 0.000 3.845 10.862
V 3.330 1.922 3.621
Cl -1.126 2.167 9.392
Cl -2.016 3.708 12.331
Cl 1.126 2.167 12.331
Cl -0.890 5.659 9.392
Cl 2.440 0.108 2.151
Cl 1.314 2.059 5.090
Cl 2.016 3.708 9.392
Cl 0.890 5.659 12.331
Cl 4.219 0.108 5.090
Cl 2.203 3.600 2.151
Cl 5.346 2.059 2.151
Cl 4.456 3.600 5.090
```

V (Å³ per atom): 30.90
E (eV/atom): -4.86



# 10
TlWCl6 | PBE-GGA | relaxed

Structure (extended XYZ):
```
16
Lattice="5.638 -4.162 0.000 5.638 4.162 0.000 -0.060 0.000 10.871" Properties=species:S:1:pos:R:3 pbc="T T T"
Tl 5.594 4.061 8.153
Tl 5.623 -4.061 2.718
W 2.789 2.081 5.436
W 2.819 -2.081 0.000
Cl 3.725 1.685 3.321
Cl 1.954 0.125 0.024
Cl 1.925 -0.125 5.459
Cl 4.749 1.330 6.447
Cl 6.438 1.330 9.860
Cl 7.522 1.685 2.115
Cl 3.695 -1.685 8.756
Cl 4.778 -1.330 1.012
Cl 6.468 -1.330 4.424
Cl 9.292 0.125 5.412
Cl 9.262 -0.125 10.848
Cl 7.492 -1.685 7.551
```

V (Å³ per atom): 31.88
E (eV/atom): -4.22



# 11
Tl2WCl | PBE-GGA | relaxed

Structure (extended XYZ):
```
8
Lattice="3.113 0.000 0.000 0.000 5.719 0.000 0.000 0.000 10.883" Properties=species:S:1:pos:R:3 pbc="T T T"
Tl 0.000 0.000 0.000
Tl 0.000 2.859 2.944
Tl 1.557 0.000 2.944
Tl 1.557 2.859 0.000
W 0.000 2.859 8.371
W 1.557 0.000 8.371
Cl 0.000 0.000 6.505
Cl 1.557 2.859 6.505
```

V (Å³ per atom): 24.22
E (eV/atom): -4.46



# 12
Tl2WCl | PBE-GGA | relaxed

Structure (extended XYZ):
```
8
Lattice="7.597 0.000 0.000 0.000 7.616 0.000 0.000 0.000 3.029" Properties=species:S:1:pos:R:3 pbc="T T T"
Tl 1.899 1.904 0.000
Tl 1.899 5.712 0.000
Tl 5.698 1.904 0.000
Tl 5.698 5.712 0.000
W 0.000 0.000 1.515
W 3.799 3.808 1.515
Cl 0.000 3.808 1.515
Cl 3.799 0.000 1.515
```

V (Å³ per atom): 21.91
E (eV/atom): -4.33



Copy entry 2 word for word.
Tl3VCl6 | PBE-GGA | relaxed

Structure (extended XYZ):
```
20
Lattice="6.052 -7.932 0.000 6.052 7.932 0.000 0.000 0.000 7.734" Properties=species:S:1:pos:R:3 pbc="T T T"
Tl 6.052 6.412 3.867
Tl 3.629 1.459 4.025
Tl 3.629 -1.459 0.158
Tl 8.476 1.459 4.025
Tl 8.476 -1.459 0.158
Tl 6.052 -6.412 0.000
V 6.052 3.051 0.591
V 6.052 -3.051 4.458
Cl 4.237 3.971 1.519
Cl 1.937 0.119 2.028
Cl 1.937 -0.119 5.895
Cl 6.052 3.292 6.110
Cl 7.867 3.971 1.519
Cl 6.052 0.879 1.180
Cl 6.052 -0.879 5.047
Cl 4.237 -3.971 5.385
Cl 6.052 -3.292 2.243
Cl 10.167 0.119 2.028
Cl 10.167 -0.119 5.895
Cl 7.867 -3.971 5.385
```

V (Å³ per atom): 37.13
E (eV/atom): -3.81



What is the E in the first record? -4.59 eV/atom



What is the E in the fifth record? -5.06 eV/atom